No. 1
Material: FeCuOs2
Method: DFT, PBE
State: optimized geometry

The value obtained for the energy of formation is 0.25 eV/atom. Its crystal system is monoclinic. As for the space-group type: C2/m (12). For the energy above the most stable polymorph in this dataset, the calculation gives 49.1 meV/atom.

Unit cell a=4.548 b=4.548 c=4.656 alpha=79.93 beta=79.93 gamma=34.11
Site moments in Bohr magnetons follow the coordinates.
Sites, in units of the cell vectors:
Cu 0.750 0.750 0.750  0.03
Fe 0.250 0.250 0.250  2.16
Os 0.991 0.991 0.007  -0.09
Os 0.509 0.509 0.493  -0.09

No. 2
Material: Ba2Tl7Cd
Method: DFT, PBE
State: optimized geometry

The value obtained for the energy of formation is -0.22 eV/atom. Its crystal system is tetragonal. As for the space-group type: P-4m2 (115).

Unit cell a=5.200 b=5.200 c=12.626 alpha=90.00 beta=90.00 gamma=90.00
Sites, in units of the cell vectors:
Ba 0.500 0.000 0.756
Ba 0.000 0.500 0.244
Tl 0.000 0.500 0.872
Tl 0.500 0.000 0.363
Tl 0.500 0.000 0.128
Tl 0.000 0.500 0.637
Tl 0.000 0.000 0.500
Tl 0.000 0.000 0.000
Tl 0.500 0.500 0.500
Cd 0.500 0.500 0.000

No. 3
Material: LiAcLaS3
Method: DFT, PBE
State: optimized geometry

The value obtained for the uncorrected formation energy is -1.90 eV/atom. Its crystal system is monoclinic. As for the space-group type: P2_1/m (11).

Unit cell a=4.057 b=8.653 c=8.789 alpha=101.59 beta=90.00 gamma=90.00
Sites, in units of the cell vectors:
Li 0.250 0.086 0.586
Li 0.750 0.914 0.414
Ac 0.250 0.176 0.219
Ac 0.750 0.824 0.781
La 0.250 0.657 0.170
La 0.750 0.343 0.830
S 0.750 0.899 0.138
S 0.250 0.101 0.862
S 0.250 0.805 0.503
S 0.750 0.195 0.497
S 0.750 0.418 0.172
S 0.250 0.582 0.828

No. 4
Material: TbNdYCd
Method: DFT, PBE
State: optimized geometry

The value obtained for the energy of formation is -0.03 eV/atom. Its crystal system is cubic. As for the space-group type: F-43m (216). For the energy above the most stable polymorph in this dataset, the calculation gives 132.2 meV/atom.

Unit cell a=5.517 b=5.517 c=5.517 alpha=60.00 beta=60.00 gamma=60.00
Sites, in units of the cell vectors:
Y 0.750 0.750 0.750
Nd 0.250 0.250 0.250
Tb 0.000 0.000 0.000
Cd 0.500 0.500 0.500

No. 5
Material: Nd3CdCo
Method: DFT, PBE
State: optimized geometry

The value obtained for the energy of formation is -0.05 eV/atom. Its crystal system is cubic. As for the space-group type: Pm-3m (221). For the energy above the most stable polymorph in this dataset, the calculation gives 86.7 meV/atom.

Unit cell a=5.310 b=5.310 c=5.310 alpha=90.00 beta=90.00 gamma=90.00
Sites, in units of the cell vectors:
Co 0.000 0.000 0.000
Nd 0.000 0.500 0.000
Nd 0.000 0.000 0.500
Nd 0.500 0.000 0.000
Cd 0.500 0.500 0.500

No. 6
Material: TlSn2W2
Method: DFT, PBE
State: optimized geometry

The value obtained for the energy of formation is 0.53 eV/atom. Its crystal system is tetragonal. As for the space-group type: I4/mmm (139). For the energy above the most stable polymorph in this dataset, the calculation gives 0.0 meV/atom.

Unit cell a=3.705 b=3.705 c=9.438 alpha=78.68 beta=78.68 gamma=90.00
Sites, in units of the cell vectors:
Tl 0.000 0.000 0.000
Sn 0.375 0.375 0.250
Sn 0.625 0.625 0.750
W 0.750 0.250 0.500
W 0.250 0.750 0.500

No. 7
Material: ZrCdCo
Method: DFT, PBE
State: optimized geometry

The value obtained for the energy of formation is 0.13 eV/atom. Its crystal system is trigonal. As for the space-group type: P3m1 (156). For the energy above the most stable polymorph in this dataset, the calculation gives 379.4 meV/atom.

Unit cell a=3.289 b=3.289 c=6.192 alpha=90.00 beta=90.00 gamma=120.00
Sites, in units of the cell vectors:
Cd 0.000 0.000 0.032
Co 0.667 0.333 0.356
Zr 0.333 0.667 0.612

No. 8
Material: In4ReRh
Method: DFT, PBE
State: optimized geometry

The value obtained for the energy of formation is 1.02 eV/atom. Its crystal system is cubic. As for the space-group type: F-43m (216).

Unit cell a=5.568 b=5.568 c=5.568 alpha=60.00 beta=60.00 gamma=60.00
Site moments in Bohr magnetons follow the coordinates.
Sites, in units of the cell vectors:
In 0.875 0.375 0.375  -0.01
In 0.375 0.375 0.875  -0.01
In 0.375 0.875 0.375  -0.01
In 0.375 0.375 0.375  -0.01
Re 0.750 0.750 0.750  0.78
Rh 0.000 0.000 0.000  0.47

No. 9
Material: EuTcO2
Method: DFT, PBE
State: optimized geometry

The value obtained for the uncorrected formation energy is -0.81 eV/atom. Its crystal system is tetragonal. As for the space-group type: P4/mmm (123).

Unit cell a=2.943 b=2.943 c=5.807 alpha=90.00 beta=90.00 gamma=90.00
Site moments in Bohr magnetons follow the coordinates.
Sites, in units of the cell vectors:
Eu 0.500 0.500 0.500  -6.78
Tc 0.500 0.500 0.000  1.85
O 0.000 0.000 0.766  0.10
O 0.000 0.000 0.234  0.10

No. 10
Material: LaTlSN2
Method: DFT, PBE
State: optimized geometry

The value obtained for the uncorrected formation energy is 0.54 eV/atom. Its crystal system is tetragonal. As for the space-group type: P4/mmm (123).

Unit cell a=4.323 b=4.323 c=5.233 alpha=90.00 beta=90.00 gamma=90.00
Site moments in Bohr magnetons follow the coordinates.
Sites, in units of the cell vectors:
Tl 0.000 0.000 0.000  0.01
N 0.000 0.500 0.000  0.49
N 0.500 0.000 0.000  0.49
S 0.000 0.000 0.500  0.07
La 0.500 0.500 0.500  -0.03

No. 11
Material: CaErCd6
Method: DFT, PBE
State: optimized geometry

The value obtained for the energy of formation is -0.26 eV/atom. Its crystal system is orthorhombic. As for the space-group type: Amm2 (38).

Unit cell a=4.981 b=6.540 c=6.540 alpha=115.32 beta=90.00 gamma=90.00
Sites, in units of the cell vectors:
Ca 0.500 0.392 0.608
Er 0.000 0.107 0.893
Cd 0.000 0.060 0.379
Cd 0.000 0.621 0.940
Cd 0.000 0.580 0.420
Cd 0.500 0.434 0.118
Cd 0.500 0.882 0.566
Cd 0.500 0.925 0.075

No. 12
Material: Pm6Dy3Y2Er
Method: DFT, PBE
State: optimized geometry

The value obtained for the energy of formation is 0.01 eV/atom. Its crystal system is monoclinic. As for the space-group type: C2/m (12).

Unit cell a=6.247 b=6.247 c=11.842 alpha=95.03 beta=95.03 gamma=119.99
Sites, in units of the cell vectors:
Pm 0.916 0.584 0.750
Pm 0.751 0.751 0.250
Pm 0.084 0.416 0.250
Pm 0.584 0.916 0.750
Pm 0.249 0.249 0.750
Pm 0.416 0.084 0.250
Dy 0.167 0.833 0.500
Dy 0.833 0.167 0.500
Dy 0.500 0.500 0.500
Y 0.333 0.667 0.000
Y 0.667 0.333 0.000
Er 0.000 0.000 0.000

No. 13
Material: NaNb2Re
Method: DFT, PBE
State: optimized geometry

The value obtained for the energy of formation is 1.00 eV/atom. Its crystal system is tetragonal. As for the space-group type: I-42d (122). For the energy above the most stable polymorph in this dataset, the calculation gives 478.9 meV/atom.

Unit cell a=7.393 b=7.393 c=5.971 alpha=51.76 beta=51.76 gamma=90.00
Sites, in units of the cell vectors:
Re 0.000 0.000 0.000
Re 0.750 0.250 0.500
Nb 0.659 0.125 0.250
Nb 0.091 0.625 0.250
Nb 0.375 0.341 0.750
Nb 0.875 0.909 0.750
Na 0.500 0.500 0.000
Na 0.250 0.750 0.500

What are the calculated volume values for these records? In order: 13.277; 34.136; 25.189; 29.678; 29.943; 24.889; 19.340; 20.346; 12.574; 19.558; 24.070; 32.836; 19.720 A^3/atom.